A relaxed Ce2ErTm crystal. Source: the Alexandria database, functional GGA-PBE.

Results
Energy   -20.5 eV/cell
Offset from the most stable computed form   0.020 eV per atom
Volume   119.3 Å³/f.u.

Structure (POSCAR):
```
Ce2ErTm
1.0
3.458 0.000 0.000
0.000 3.458 0.000
0.000 0.000 9.976
Ce Er Tm
2 1 1
Cartesian
0.000 0.000 2.487 Ce
0.000 0.000 7.489 Ce
1.729 1.729 4.988 Er
1.729 1.729 0.000 Tm
```

A relaxed Ce2ErTm crystal. Source: the Alexandria database, functional GGA-PBE.

Results
Energy   -20.1 eV/cell
Offset from the most stable computed form   0.123 eV per atom
Volume   123.5 Å³/f.u.

Structure (POSCAR):
```
Ce2ErTm
1.0
0.000 3.953 3.953
3.953 0.000 3.953
3.953 3.953 0.000
Ce Er Tm
2 1 1
Cartesian
1.976 1.976 1.976 Ce
5.929 5.929 5.929 Ce
0.000 0.000 0.000 Er
3.953 3.953 3.953 Tm
```

A relaxed CeEr10Tm4 crystal. Source: the Alexandria database, functional GGA-PBE.

Results
Energy   -58.1 eV/cell
Volume   542.9 Å³/f.u.

Structure (POSCAR):
```
CeEr10Tm4
1.0
-5.990 5.990 3.783
5.990 -5.990 3.783
5.990 5.990 -3.783
Ce Er Tm
1 10 4
Cartesian
0.000 0.000 0.000 Ce
4.805 3.601 -1.903 Er
2.389 -1.185 1.879 Er
5.990 0.000 1.891 Er
3.601 7.176 -1.903 Er
1.185 2.389 1.879 Er
4.805 3.601 1.903 Er
2.389 -1.185 5.686 Er
0.000 5.990 1.891 Er
3.601 7.176 1.903 Er
1.185 2.389 5.686 Er
7.196 2.408 0.000 Tm
2.408 4.785 0.000 Tm
3.582 1.206 3.783 Tm
-1.206 3.582 3.783 Tm
```

A relaxed CeEr3Tm12 crystal. Source: the Alexandria database, functional GGA-PBE.

Results
Energy   -72.7 eV/cell
Volume   482.0 Å³/f.u.

Structure (POSCAR):
```
CeEr3Tm12
1.0
4.939 0.000 0.000
0.000 4.939 0.000
0.000 0.000 19.756
Ce Er Tm
1 3 12
Cartesian
0.000 0.000 0.000 Ce
0.000 0.000 4.925 Er
0.000 0.000 9.878 Er
0.000 0.000 14.831 Er
0.000 2.470 2.466 Tm
0.000 2.470 7.410 Tm
0.000 2.470 12.346 Tm
0.000 2.470 17.290 Tm
2.470 0.000 2.466 Tm
2.470 0.000 7.410 Tm
2.470 0.000 12.346 Tm
2.470 0.000 17.290 Tm
2.470 2.470 0.000 Tm
2.470 2.470 4.970 Tm
2.470 2.470 9.878 Tm
2.470 2.470 14.786 Tm
```

For the records above, the corresponding DOS at the Fermi energy values read 10.28; 13.73; 20.11; 22.96 states/eV/cell.